Crystalline Ho2Ga3Os at its relaxed geometry. Source: Alexandria via LeMat-Bulk, functional PBE.

The calculation puts the uncorrected energy at -5.41 eV per atom. As for the volume: 18.614 A^3/atom. Its density of states at the Fermi level is 4.118 states/eV/f.u. The space group is R-3m, No. 166.

a b c (Å): 5.3807 5.3807 5.3807
angles (deg): 60.62 60.62 60.62
Atoms (fractional coordinates):
Ho 0.1275 0.1275 0.1275
Ho 0.8725 0.8725 0.8725
Ga 0.0000 0.5000 0.5000
Ga 0.5000 0.0000 0.5000
Ga 0.5000 0.5000 0.0000
Os 0.5000 0.5000 0.5000


Crystalline BaReMo2 at its relaxed geometry. Source: Alexandria via LeMat-Bulk, functional PBE.

The value obtained for the polymorph energy (0 for the lowest one) is 0.254 eV per atom. As for the volume: 20.562 A^3/atom. Its density of states at the Fermi level is 4.734 states/eV/f.u. The space group is R3m, No. 160.

a b c (Å): 9.8981 9.8981 9.8981
angles (deg): 18.16 18.16 18.16
Atoms (fractional coordinates):
Ba 0.0000 0.0000 0.0000
Re 0.7668 0.7668 0.7668
Mo 0.2299 0.2299 0.2299
Mo 0.4990 0.4990 0.4990